Entry 1:
DFT (PBE) results for a geometry-optimized KSrBr2 structure.

Cell lengths 8.1852, 8.1852, 8.1852 Å; angles 90.00, 90.00, 90.00 degrees
With the nearest neighbours (Å) after each atom.
Space group Fm-3m (No. 225)
Unique sites:
K  0.0000  0.0000  0.0000  8 Br 3.54
Sr  0.0000  0.0000  0.5000  8 Br 3.54
Br  0.2500  0.2500  0.2500  4 K 3.54, 4 Sr 3.54

Summary:
Energy relative to the lowest polymorph listed for this composition (eV/atom): 0.227
Raw formation energy (eV per atom): -1.32

Entry 2:
DFT (PBE) results for a geometry-optimized Nd5In2Ge2 structure.

Cell lengths 16.2667, 7.9843, 8.0617 Å; angles 90.00, 90.00, 90.00 degrees
With the nearest neighbours (Å) after each atom.
Space group Cmce (No. 64)
Unique sites:
Nd  0.0000  0.0000  0.0000  4 Ge 3.19-3.20, 4 Nd 3.56, 2 In 3.57
Nd  0.1274  0.1856  0.3198  3 Ge 3.05-3.24, 3 In 3.24-3.33
In  0.2195  0.0000  0.0000  7 Nd 3.24-3.57
Ge  0.0000  0.1188  0.6218  1 Ge 2.73, 2 Nd 3.05

Summary:
Energy of formation from the pure elements (eV per atom): -0.59

Entry 3:
DFT (PBE) results for a geometry-optimized AcPr2Cd2 structure.

Cell lengths 3.9603, 5.6953, 14.5481 Å; angles 90.00, 97.86, 90.00 degrees
With the nearest neighbours (Å) after each atom.
Space group P2_1/m (No. 11)
Unique sites:
Ac  0.1463  0.2500  0.2905  6 Cd 3.47-3.51
Pr  0.0480  0.7500  0.0962  8 Cd 3.32-3.47
Pr  0.2359  0.7500  0.4737  2 Cd 3.34-3.35, 4 Pr 3.55
Cd  0.3568  0.2500  0.7134  4 Pr 3.34-3.38, 4 Ac 3.47
Cd  0.4555  0.7500  0.9108  6 Pr 3.32-3.47, 2 Ac 3.51

Summary:
Energy of formation from the pure elements (eV per atom): -0.24
Energy relative to the lowest polymorph listed for this composition (eV/atom): 0.000

Entry 4:
DFT (PBE) results for a geometry-optimized KNaCoSn2 structure.

Cell lengths 4.9250, 4.9250, 5.6167 Å; angles 90.00, 90.00, 90.00 degrees
With the nearest neighbours (Å) after each atom.
Space group P4/mmm (No. 123)
Unique sites:
K  0.0000  0.0000  0.0000  4 Na 3.48, 8 Sn 3.74
Na  0.5000  0.5000  0.0000  2 Co 2.81
Co  0.5000  0.5000  0.5000  4 Sn 2.46
Sn  0.0000  0.5000  0.5000  2 Co 2.46

Summary:
Energy of formation from the pure elements (eV per atom): -0.02

Entry 5:
DFT (PBE) results for a geometry-optimized LaTcIr3 structure.

Cell lengths 4.7769, 4.7769, 4.7769 Å; angles 90.00, 90.00, 90.00 degrees
With the nearest neighbours (Å) after each atom.
Space group Pm-3m (No. 221)
Unique sites:
La  0.0000  0.0000  0.0000  12 Ir 3.38
Tc  0.5000  0.5000  0.5000  6 Ir 2.39
Ir  0.0000  0.5000  0.5000  2 Tc 2.39

Summary:
Energy of formation from the pure elements (eV per atom): 0.50
Energy relative to the lowest polymorph listed for this composition (eV/atom): 0.000

Entry 6:
DFT (PBE) results for a geometry-optimized LaCe3Ru3 structure.

Cell lengths 9.0204, 9.0204, 15.0547 Å; angles 90.00, 90.00, 120.00 degrees
With the nearest neighbours (Å) after each atom.
Space group R-3 (No. 148, hexagonal axes)
Unique sites:
La  0.0000  0.0000  0.1634  6 Ru 2.91-3.16
Ce  0.0231  0.7499  0.6061  1 Ru 2.38
Ru  0.0217  0.6370  0.4297  1 Ce 2.38

Summary:
Energy of formation from the pure elements (eV per atom): -0.29

Entry 7:
DFT (PBE) results for a geometry-optimized Sr2BPtSe structure.

Cell lengths 5.8176, 5.8176, 4.0348 Å; angles 90.00, 90.00, 90.00 degrees
With the nearest neighbours (Å) after each atom.
Space group P4/mmm (No. 123)
Unique sites:
Sr  0.0000  0.5000  0.0000  2 Pt 2.91
B  0.0000  0.0000  0.5000  2 Pt 2.02
Pt  0.0000  0.0000  0.0000  2 B 2.02
Se  0.5000  0.5000  0.5000  8 Sr 3.54

Summary:
Energy relative to the lowest polymorph listed for this composition (eV/atom): 0.119
Raw formation energy (eV per atom): -0.75

Entry 8:
DFT (PBE) results for a geometry-optimized CsRbNaV2 structure.

Cell lengths 6.0338, 6.0338, 6.9059 Å; angles 90.00, 90.00, 90.00 degrees
With the nearest neighbours (Å) after each atom.
Space group P4/mmm (No. 123)
Unique sites:
Cs  0.0000  0.0000  0.0000  4 V 3.02
Rb  0.0000  0.0000  0.5000  2 Cs 3.45
Na  0.5000  0.5000  0.5000  4 Rb 4.27, 8 V 4.59
V  0.0000  0.5000  0.0000  2 Cs 3.02

Summary:
Energy of formation from the pure elements (eV per atom): 1.83

Entry 9:
DFT (PBE) results for a geometry-optimized GaPbAu4 structure.

Cell lengths 4.5667, 20.5772, 5.7761 Å; angles 90.00, 90.00, 90.00 degrees
With the nearest neighbours (Å) after each atom.
Space group Cmcm (No. 63)
Unique sites:
Ga  0.0000  0.1023  0.2500  6 Au 2.55-2.64
Pb  0.0000  0.3960  0.2500  10 Au 3.14-3.45
Au  0.0000  0.0000  0.0000  2 Ga 2.55
Au  0.0000  0.2074  0.5120  1 Ga 2.64, 5 Au 2.75-2.88
Au  0.0000  0.3356  0.7500  2 Ga 2.62, 4 Au 2.88

Summary:
Energy of formation from the pure elements (eV per atom): -0.04
Energy relative to the lowest polymorph listed for this composition (eV/atom): 0.026

Entry 10:
DFT (PBE) results for a geometry-optimized Rb2NaSnBr5 structure.

Cell lengths 4.7685, 19.2916, 14.7992 Å; angles 90.00, 90.00, 90.00 degrees
With the nearest neighbours (Å) after each atom.
Space group Cmc2_1 (No. 36)
Unique sites:
Rb  0.0000  0.1079  0.0000  6 Br 3.33-3.65
Rb  0.0000  0.1496  0.6287  7 Br 3.49-3.71
Na  0.0000  0.2179  0.3563  6 Br 3.01-3.28
Sn  0.0000  0.4660  0.7775  4 Br 2.85-2.94
Br  0.0000  0.0609  0.3880  2 Sn 2.94, 1 Na 3.06
Br  0.0000  0.2800  0.9826  2 Na 3.03, 1 Rb 3.33
Br  0.0000  0.3259  0.7148  1 Sn 2.86
Br  0.0000  0.3712  0.3187  1 Na 3.01, 1 Sn 3.20
Br  0.0000  0.4917  0.0928  1 Sn 2.85

Summary:
Raw formation energy (eV per atom): -1.36

Values of mass density, in order: 3.5, 7.0, 7.5, 4.4, 12.4, 8.1, 5.6, 2.3, 13.0, 3.5, all in Mg/m³.